VASP calculation (GGA-PBE) on a relaxed structure of YGa8Tc2.

Output
As for the formation energy from the elements: -192 kJ/mol of formula units. Its total energy is -4.854 eV per atom.

a = 8.7745 Å, b = 10.2915 Å, c = 4.8508 Å
α = 90.00°, β = 103.32°, γ = 90.00°
Space group C2/m (No. 12)
Inequivalent atoms, fractional coordinates:
Y 0.0000 0.0000 0.0000
Ga 0.0000 0.2958 0.0000
Ga 0.1185 0.5000 0.7425
Ga 0.2266 0.1291 0.6033
Tc 0.0000 0.2801 0.5000